# BaCdCo2Ge | the Alexandria database | PBE-GGA | optimized geometry
data_BaCdCo2Ge
_chemical_formula_sum 'Ba1 Cd1 Co2 Ge1'
_cell_length_a 4.8976
_cell_length_b 6.0801
_cell_length_c 4.8976
_cell_angle_alpha 90.00
_cell_angle_beta 90.00
_cell_angle_gamma 90.00
_symmetry_space_group_name_H-M 'P 1'
_symmetry_Int_Tables_number 1
loop_
_symmetry_equiv_pos_as_xyz
'x,y,z'
loop_
_atom_site_label
_atom_site_fract_x
_atom_site_fract_y
_atom_site_fract_z
Ba1 0.0000 0.0000 0.0000
Co1 0.0000 0.0000 0.5000
Co2 0.5000 0.0000 0.0000
Cd1 0.0000 0.5000 0.0000
Ge1 0.5000 0.5000 0.5000
# Symmetry ... P4/mmm (123)
# DOS at the Fermi energy ... 8.7 states/eV per cell
# Calculated formation energy ... 1.866 eV/atom

=====

# BaCd2CoGe | the Alexandria database | PBE-GGA | optimized geometry
data_BaCd2CoGe
_chemical_formula_sum 'Ba1 Cd2 Co1 Ge1'
_cell_length_a 5.1346
_cell_length_b 5.1346
_cell_length_c 4.6140
_cell_angle_alpha 90.00
_cell_angle_beta 90.00
_cell_angle_gamma 90.00
_symmetry_space_group_name_H-M 'P 1'
_symmetry_Int_Tables_number 1
loop_
_symmetry_equiv_pos_as_xyz
'x,y,z'
loop_
_atom_site_label
_atom_site_fract_x
_atom_site_fract_y
_atom_site_fract_z
Cd1 0.0000 0.5000 0.0000
Cd2 0.5000 0.0000 0.0000
Ge1 0.0000 0.0000 0.5000
Ba1 0.5000 0.5000 0.5000
Co1 0.0000 0.0000 0.0000
# Symmetry ... P4/mmm (123)
# DOS at the Fermi energy ... 3.8 states/eV per cell
# Calculated formation energy ... -0.183 eV/atom

=====

# BaCdCoGe | the Alexandria database | PBE-GGA | optimized geometry
data_BaCdCoGe
_chemical_formula_sum 'Ba2 Cd2 Co2 Ge2'
_cell_length_a 4.0766
_cell_length_b 4.0766
_cell_length_c 12.5063
_cell_angle_alpha 90.00
_cell_angle_beta 90.00
_cell_angle_gamma 90.00
_symmetry_space_group_name_H-M 'P 1'
_symmetry_Int_Tables_number 1
loop_
_symmetry_equiv_pos_as_xyz
'x,y,z'
loop_
_atom_site_label
_atom_site_fract_x
_atom_site_fract_y
_atom_site_fract_z
Cd1 0.7500 0.2500 0.5000
Cd2 0.2500 0.7500 0.5000
Ge1 0.2500 0.2500 0.0948
Ge2 0.7500 0.7500 0.9052
Ba1 0.7500 0.7500 0.2314
Ba2 0.2500 0.2500 0.7686
Co1 0.7500 0.2500 0.0000
Co2 0.2500 0.7500 0.0000
# Symmetry ... P4/nmm (129)
# DOS at the Fermi energy ... 3.8 states/eV per cell
# Calculated formation energy ... -0.306 eV/atom

=====

# BaCdCoH6 | the Alexandria database | PBE-GGA | optimized geometry
data_BaCdCoH6
_chemical_formula_sum 'Ba1 Cd1 Co1 H6'
_cell_length_a 4.8624
_cell_length_b 4.8624
_cell_length_c 4.8700
_cell_angle_alpha 90.00
_cell_angle_beta 90.00
_cell_angle_gamma 60.00
_symmetry_space_group_name_H-M 'P 1'
_symmetry_Int_Tables_number 1
loop_
_symmetry_equiv_pos_as_xyz
'x,y,z'
loop_
_atom_site_label
_atom_site_fract_x
_atom_site_fract_y
_atom_site_fract_z
Cd1 0.6666 0.6667 0.5000
H1 0.4678 0.4677 0.7290
H2 0.4677 0.0644 0.7290
H3 0.4678 0.0644 0.2710
H4 0.0644 0.4677 0.2710
H5 0.0644 0.4679 0.7290
H6 0.4677 0.4679 0.2710
Ba1 0.0000 0.0000 0.0000
Co1 0.3333 0.3333 0.5000
# Symmetry ... P-6m2 (187)
# Calculated total energy ... -31.8 eV for the cell shown
# DOS at the Fermi energy ... 1.8 states/eV per cell

=====

# BaCdCoHg2 | the Alexandria database | PBE-GGA | optimized geometry
data_BaCdCoHg2
_chemical_formula_sum 'Ba1 Cd1 Co1 Hg2'
_cell_length_a 5.1533
_cell_length_b 5.1533
_cell_length_c 5.0746
_cell_angle_alpha 90.00
_cell_angle_beta 90.00
_cell_angle_gamma 90.00
_symmetry_space_group_name_H-M 'P 1'
_symmetry_Int_Tables_number 1
loop_
_symmetry_equiv_pos_as_xyz
'x,y,z'
loop_
_atom_site_label
_atom_site_fract_x
_atom_site_fract_y
_atom_site_fract_z
Co1 0.0000 0.0000 0.0000
Hg1 0.0000 0.5000 0.0000
Hg2 0.5000 0.0000 0.0000
Cd1 0.0000 0.0000 0.5000
Ba1 0.5000 0.5000 0.5000
# Symmetry ... P4/mmm (123)
# DOS at the Fermi energy ... 3.4 states/eV per cell
# Calculated formation energy ... -0.111 eV/atom

=====

# BaCd2CoI | the Alexandria database | PBE-GGA | optimized geometry
data_BaCd2CoI
_chemical_formula_sum 'Ba1 Cd2 Co1 I1'
_cell_length_a 5.0786
_cell_length_b 5.5125
_cell_length_c 5.0786
_cell_angle_alpha 90.00
_cell_angle_beta 90.00
_cell_angle_gamma 90.00
_symmetry_space_group_name_H-M 'P 1'
_symmetry_Int_Tables_number 1
loop_
_symmetry_equiv_pos_as_xyz
'x,y,z'
loop_
_atom_site_label
_atom_site_fract_x
_atom_site_fract_y
_atom_site_fract_z
Cd1 0.0000 0.0000 0.5000
Cd2 0.5000 0.0000 0.0000
Ba1 0.5000 0.5000 0.5000
Co1 0.0000 0.0000 0.0000
I1 0.0000 0.5000 0.0000
# Symmetry ... P4/mmm (123)
# Formation energy from raw total energies ... -3.38 kcal/mol of atoms
# DOS at the Fermi energy ... 2.5 states/eV per cell

=====

# BaCdIn2Co | the Alexandria database | PBE-GGA | optimized geometry
data_BaCdIn2Co
_chemical_formula_sum 'Ba1 Cd1 In2 Co1'
_cell_length_a 5.0452
_cell_length_b 5.0452
_cell_length_c 5.1924
_cell_angle_alpha 90.00
_cell_angle_beta 90.00
_cell_angle_gamma 90.00
_symmetry_space_group_name_H-M 'P 1'
_symmetry_Int_Tables_number 1
loop_
_symmetry_equiv_pos_as_xyz
'x,y,z'
loop_
_atom_site_label
_atom_site_fract_x
_atom_site_fract_y
_atom_site_fract_z
In1 0.0000 0.5000 0.0000
In2 0.5000 0.0000 0.0000
Cd1 0.0000 0.0000 0.5000
Ba1 0.5000 0.5000 0.5000
Co1 0.0000 0.0000 0.0000
# Symmetry ... P4/mmm (123)
# DOS at the Fermi energy ... 3.4 states/eV per cell
# Calculated formation energy ... -0.195 eV/atom

=====

# KBa2CdCo | the Alexandria database | PBE-GGA | optimized geometry
data_KBa2CdCo
_chemical_formula_sum 'K1 Ba2 Cd1 Co1'
_cell_length_a 6.5861
_cell_length_b 6.2940
_cell_length_c 6.5861
_cell_angle_alpha 90.00
_cell_angle_beta 90.00
_cell_angle_gamma 90.00
_symmetry_space_group_name_H-M 'P 1'
_symmetry_Int_Tables_number 1
loop_
_symmetry_equiv_pos_as_xyz
'x,y,z'
loop_
_atom_site_label
_atom_site_fract_x
_atom_site_fract_y
_atom_site_fract_z
Co1 0.5000 0.5000 0.5000
Ba1 0.0000 0.0000 0.5000
Ba2 0.5000 0.0000 0.0000
Cd1 0.0000 0.0000 0.0000
K1 0.0000 0.5000 0.0000
# Symmetry ... P4/mmm (123)
# DOS at the Fermi energy ... 3.7 states/eV per cell
# Calculated formation energy ... 0.724 eV/atom

=====

Number 1: total magnetization 2.13 μB/f.u.. Number 2: total magnetization 0.19 μB/f.u.. Number 3: total magnetization 0.00 μB/f.u.. Number 4: total magnetization 0.00 μB/f.u.. Number 5: total magnetization 0.31 μB/f.u.. Number 6: total magnetization 0.00 μB/f.u.. Number 7: total magnetization 0.71 μB/f.u.. Number 8: total magnetization 1.96 μB/f.u..